Entry 1:
This record from Alexandria describes a PBEsol-optimized structure of SmTlCd. The functional is SCAN.

Lattice parameters (Å, degrees): 4.911 4.911 7.165 90.00 90.00 120.00
Site moments in Bohr magnetons follow the coordinates.
Positions (direct):
Tl (0.333, 0.667, 0.750)  0.01
Tl (0.667, 0.333, 0.250)  0.01
Cd (0.667, 0.333, 0.750)  0.00
Cd (0.333, 0.667, 0.250)  0.00
Sm (0.000, 0.000, 0.000)  0.18
Sm (0.000, 0.000, 0.500)  0.18

Computed properties:
Fermi-level density of states in states/eV/atom: 0.488
E_tot in eV/atom: -49.547

Entry 2:
This record from Alexandria describes a PBEsol-optimized structure of LiYCu3. The functional is SCAN.

Lattice parameters (Å, degrees): 5.057 5.057 5.057 90.00 90.00 90.00
Positions (direct):
Y (0.000, 0.000, 0.000)
Cu (0.000, 0.000, 0.500)
Cu (0.500, 0.000, 0.000)
Cu (0.000, 0.500, 0.000)
Li (0.500, 0.500, 0.500)

Computed properties:
Fermi-level density of states in states/eV/atom: 0.271
E_tot in eV/atom: -14.117

Entry 3:
This record from Alexandria describes a PBEsol-optimized structure of TcHgP2S. The functional is SCAN.

Lattice parameters (Å, degrees): 4.628 4.628 4.560 90.00 90.00 90.00
Positions (direct):
Hg (0.500, 0.500, 0.500)
S (0.000, 0.000, 0.500)
P (0.000, 0.500, 0.000)
P (0.500, 0.000, 0.000)
Tc (0.000, 0.000, 0.000)

Computed properties:
Energy relative to the elements, uncorrected in eV per formula unit: 2.39
Fermi-level density of states in states/eV/atom: 0.774

The lowest Fermi-level density of states belongs to which entry?
LiYCu3